Material: Pm3Ho2Sc2
Method: DFT, PBE-GGA
State: optimized geometry

CIF file:
```
data_Pm3Ho2Sc2
_cell_length_a 11.0084
_cell_length_b 4.9701
_cell_length_c 7.8660
_cell_angle_alpha 90.00
_cell_angle_beta 98.46
_cell_angle_gamma 90.00
_space_group_name_H-M_alt 'C 1 2/m 1'
_space_group_IT_number 12
loop_
_space_group_symop_operation_xyz
'x,y,z'
'-x,-y,-z'
'-x,y,-z'
'x,-y,z'
'x+1/2,y+1/2,z'
'-x+1/2,-y+1/2,-z'
'-x+1/2,y+1/2,-z'
'x+1/2,-y+1/2,z'
loop_
_atom_site_label
_atom_site_type_symbol
_atom_site_fract_x
_atom_site_fract_y
_atom_site_fract_z
Pm1 Pm 0.0000 0.0000 0.0000
Pm2 Pm 0.1442 0.0000 0.4302
Ho1 Ho 0.0714 0.5000 0.7220
Sc1 Sc 0.2164 0.5000 0.1377
```

=====

Material: Pm12Ho5Sc2
Method: DFT, PBE-GGA
State: optimized geometry

CIF file:
```
data_Pm12Ho5Sc2
_cell_length_a 15.7578
_cell_length_b 9.1643
_cell_length_c 8.6536
_cell_angle_alpha 90.00
_cell_angle_beta 92.58
_cell_angle_gamma 90.00
_space_group_name_H-M_alt 'C 1 2/m 1'
_space_group_IT_number 12
loop_
_space_group_symop_operation_xyz
'x,y,z'
'-x,-y,-z'
'-x,y,-z'
'x,-y,z'
'x+1/2,y+1/2,z'
'-x+1/2,-y+1/2,-z'
'-x+1/2,y+1/2,-z'
'x+1/2,-y+1/2,z'
loop_
_atom_site_label
_atom_site_type_symbol
_atom_site_fract_x
_atom_site_fract_y
_atom_site_fract_z
Pm1 Pm 0.0588 0.0000 0.3406
Pm2 Pm 0.0786 0.5000 0.8844
Pm3 Pm 0.1291 0.1977 0.6859
Pm4 Pm 0.1490 0.3162 0.2342
Ho1 Ho 0.0000 0.5000 0.5000
Ho2 Ho 0.2015 0.0000 0.0297
Ho3 Ho 0.2314 0.5000 0.5657
Sc1 Sc 0.0000 0.1660 0.0000
```

=====

Material: Pm5Ho3Sc
Method: DFT, PBE-GGA
State: optimized geometry

CIF file:
```
data_Pm5Ho3Sc
_cell_length_a 9.3073
_cell_length_b 9.3073
_cell_length_c 13.8468
_cell_angle_alpha 90.00
_cell_angle_beta 90.00
_cell_angle_gamma 90.00
_space_group_name_H-M_alt 'I 4/m c m'
_space_group_IT_number 140
_space_group_name_Hall '-I 4 2c'
loop_
_atom_site_label
_atom_site_type_symbol
_atom_site_fract_x
_atom_site_fract_y
_atom_site_fract_z
Pm1 Pm 0.0000 0.0000 0.0000
Pm2 Pm 0.1971 0.3029 0.1337
Ho1 Ho 0.0000 0.0000 0.2500
Ho2 Ho 0.1106 0.3894 0.5000
Sc1 Sc 0.0000 0.5000 0.2500
```

=====

Material: Pm4HoSc3
Method: DFT, PBE-GGA
State: optimized geometry

CIF file:
```
data_Pm4HoSc3
_cell_length_a 11.1123
_cell_length_b 7.1389
_cell_length_c 6.1127
_cell_angle_alpha 90.00
_cell_angle_beta 90.00
_cell_angle_gamma 90.00
_space_group_name_H-M_alt 'P m n 21'
_space_group_IT_number 31
loop_
_space_group_symop_operation_xyz
'x,y,z'
'-x+1/2,-y,z+1/2'
'-x,y,z'
'x+1/2,-y,z+1/2'
loop_
_atom_site_label
_atom_site_type_symbol
_atom_site_fract_x
_atom_site_fract_y
_atom_site_fract_z
Pm1 Pm 0.0000 0.1189 0.0000
Pm2 Pm 0.0000 0.6316 0.0105
Pm3 Pm 0.2493 0.6270 0.6708
Ho1 Ho 0.0000 0.8805 0.4953
Sc1 Sc 0.0000 0.3697 0.5123
Sc2 Sc 0.2447 0.1218 0.6642
```

=====

Material: Pm15Ho4Sc
Method: DFT, PBE-GGA
State: optimized geometry

CIF file:
```
data_Pm15Ho4Sc
_cell_length_a 5.1056
_cell_length_b 5.1056
_cell_length_c 25.4282
_cell_angle_alpha 90.00
_cell_angle_beta 90.00
_cell_angle_gamma 90.00
_space_group_name_H-M_alt 'P 4/m m m'
_space_group_IT_number 123
_space_group_name_Hall '-P 4 2'
loop_
_atom_site_label
_atom_site_type_symbol
_atom_site_fract_x
_atom_site_fract_y
_atom_site_fract_z
Pm1 Pm 0.0000 0.0000 0.0000
Pm2 Pm 0.0000 0.0000 0.1976
Pm3 Pm 0.0000 0.0000 0.3993
Pm4 Pm 0.0000 0.5000 0.0970
Pm5 Pm 0.0000 0.5000 0.2985
Pm6 Pm 0.0000 0.5000 0.5000
Ho1 Ho 0.5000 0.5000 0.1977
Ho2 Ho 0.5000 0.5000 0.3993
Sc1 Sc 0.5000 0.5000 0.0000
```

=====

Material: Pm3HoSc3
Method: DFT, PBE-GGA
State: optimized geometry

CIF file:
```
data_Pm3HoSc3
_cell_length_a 8.3897
_cell_length_b 8.3897
_cell_length_c 21.1564
_cell_angle_alpha 90.00
_cell_angle_beta 90.00
_cell_angle_gamma 120.00
_space_group_name_H-M_alt 'R -3'
_space_group_IT_number 148
_space_group_name_Hall '-R 3'
loop_
_atom_site_label
_atom_site_type_symbol
_atom_site_fract_x
_atom_site_fract_y
_atom_site_fract_z
Pm1 Pm 0.0454 0.5974 0.3826
Ho1 Ho 0.0000 0.0000 0.1553
Sc1 Sc 0.0052 0.7796 0.5559
```

=====

Material: PmHo4Sc2
Method: DFT, PBE-GGA
State: optimized geometry

CIF file:
```
data_PmHo4Sc2
_cell_length_a 6.9085
_cell_length_b 8.3644
_cell_length_c 8.5645
_cell_angle_alpha 114.88
_cell_angle_beta 101.30
_cell_angle_gamma 101.93
_space_group_name_H-M_alt 'P 1'
_space_group_IT_number 1
loop_
_space_group_symop_operation_xyz
'x,y,z'
loop_
_atom_site_label
_atom_site_type_symbol
_atom_site_fract_x
_atom_site_fract_y
_atom_site_fract_z
Pm1 Pm 0.0000 0.0000 0.0000
Pm2 Pm 0.1128 0.5553 0.8782
Ho1 Ho 0.0884 0.7323 0.5955
Ho2 Ho 0.2007 0.3272 0.4617
Ho3 Ho 0.3123 0.8891 0.3346
Ho4 Ho 0.4106 0.4356 0.1669
Ho5 Ho 0.6078 0.5590 0.8684
Ho6 Ho 0.7005 0.3233 0.4514
Ho7 Ho 0.7225 0.1530 0.7397
Ho8 Ho 0.8097 0.8856 0.3350
Sc1 Sc 0.2272 0.1514 0.7341
Sc2 Sc 0.5014 0.9976 0.9902
Sc3 Sc 0.5845 0.7336 0.5959
Sc4 Sc 0.9059 0.4431 0.1679
```

=====

Material: Pm3Ho2Sc
Method: DFT, PBE-GGA
State: optimized geometry

CIF file:
```
data_Pm3Ho2Sc
_cell_length_a 3.4658
_cell_length_b 5.7830
_cell_length_c 19.4466
_cell_angle_alpha 90.00
_cell_angle_beta 90.00
_cell_angle_gamma 90.00
_space_group_name_H-M_alt 'I m m m'
_space_group_IT_number 71
_space_group_name_Hall '-I 2 2'
loop_
_atom_site_label
_atom_site_type_symbol
_atom_site_fract_x
_atom_site_fract_y
_atom_site_fract_z
Pm1 Pm 0.0000 0.0000 0.0000
Pm2 Pm 0.0000 0.5000 0.1881
Ho1 Ho 0.0000 0.5000 0.3632
Sc1 Sc 0.0000 0.5000 0.0000
```

=====

Material: PmHo2Sc7
Method: DFT, PBE-GGA
State: optimized geometry

CIF file:
```
data_PmHo2Sc7
_cell_length_a 6.0384
_cell_length_b 27.2267
_cell_length_c 3.3268
_cell_angle_alpha 90.00
_cell_angle_beta 90.00
_cell_angle_gamma 90.00
_space_group_name_H-M_alt 'C m m m'
_space_group_IT_number 65
_space_group_name_Hall '-C 2 2'
loop_
_atom_site_label
_atom_site_type_symbol
_atom_site_fract_x
_atom_site_fract_y
_atom_site_fract_z
Pm1 Pm 0.0000 0.0000 0.0000
Ho1 Ho 0.0000 0.2889 0.5000
Sc1 Sc 0.0000 0.1827 0.0000
Sc2 Sc 0.0000 0.5000 0.5000
Sc3 Sc 0.2481 0.1000 0.5000
```

=====

Material: Pm2Ho4Sc3
Method: DFT, PBE-GGA
State: optimized geometry

CIF file:
```
data_Pm2Ho4Sc3
_cell_length_a 15.5657
_cell_length_b 11.3330
_cell_length_c 6.0298
_cell_angle_alpha 90.00
_cell_angle_beta 95.42
_cell_angle_gamma 90.00
_space_group_name_H-M_alt 'C 1 2/c 1'
_space_group_IT_number 15
loop_
_space_group_symop_operation_xyz
'x,y,z'
'-x,-y,-z'
'-x,y,-z+1/2'
'x,-y,z+1/2'
'x+1/2,y+1/2,z'
'-x+1/2,-y+1/2,-z'
'-x+1/2,y+1/2,-z+1/2'
'x+1/2,-y+1/2,z+1/2'
loop_
_atom_site_label
_atom_site_type_symbol
_atom_site_fract_x
_atom_site_fract_y
_atom_site_fract_z
Pm1 Pm 0.1176 0.1448 0.3230
Ho1 Ho 0.0498 0.3614 0.0100
Ho2 Ho 0.2164 0.1384 0.8440
Sc1 Sc 0.0000 0.1025 0.7500
Sc2 Sc 0.1660 0.3998 0.5869
```

=====

Material: Pm4Ho3Sc4
Method: DFT, PBE-GGA
State: optimized geometry

CIF file:
```
data_Pm4Ho3Sc4
_cell_length_a 3.4311
_cell_length_b 5.4916
_cell_length_c 17.5587
_cell_angle_alpha 81.02
_cell_angle_beta 84.40
_cell_angle_gamma 90.00
_space_group_name_H-M_alt 'P -1'
_space_group_IT_number 2
loop_
_space_group_symop_operation_xyz
'x,y,z'
'-x,-y,-z'
loop_
_atom_site_label
_atom_site_type_symbol
_atom_site_fract_x
_atom_site_fract_y
_atom_site_fract_z
Pm1 Pm 0.0914 0.0911 0.3184
Pm2 Pm 0.2310 0.7311 0.0378
Ho1 Ho 0.3635 0.3641 0.7713
Ho2 Ho 0.5000 0.0000 0.5000
Sc1 Sc 0.0451 0.5444 0.4118
Sc2 Sc 0.1818 0.1809 0.1385
```

=====

Material: Pm2Ho5Sc2
Method: DFT, PBE-GGA
State: optimized geometry

CIF file:
```
data_Pm2Ho5Sc2
_cell_length_a 16.3057
_cell_length_b 8.4668
_cell_length_c 8.0643
_cell_angle_alpha 90.00
_cell_angle_beta 90.00
_cell_angle_gamma 90.00
_space_group_name_H-M_alt 'C m c e'
_space_group_IT_number 64
_space_group_name_Hall '-C 2ac 2'
loop_
_atom_site_label
_atom_site_type_symbol
_atom_site_fract_x
_atom_site_fract_y
_atom_site_fract_z
Pm1 Pm 0.2148 0.0000 0.0000
Ho1 Ho 0.0000 0.0000 0.0000
Ho2 Ho 0.1314 0.1830 0.3192
Sc1 Sc 0.0000 0.1243 0.6246
```

=====

| no. | formation energy (eV per formula unit) | density (Mg/m³) | total magnetization (μB/f.u.) |
| --- | --- | --- | --- |
| 1 | 0.3 | 6.7 | 0.00 |
| 2 | 2.2 | 7.1 | 0.00 |
| 3 | 2.8 | 7.0 | 0.00 |
| 4 | 0.4 | 6.0 | 0.00 |
| 5 | 0.3 | 7.2 | 0.00 |
| 6 | 1.3 | 5.7 | 0.00 |
| 7 | 0.4 | 7.1 | 0.00 |
| 8 | 2.3 | 6.9 | 0.00 |
| 9 | 1.6 | 4.8 | 0.00 |
| 10 | 1.0 | 6.8 | 0.00 |
| 11 | 0.9 | 6.4 | 0.00 |
| 12 | 2.0 | 7.2 | 0.00 |